(1)
Below is an optimized crystal structure of Zn2CrSe, with properties calculated at the PBE level.

Output
Uncorrected formation energy ... 148 meV/atom
Total magnetization ... 3.410 μB/f.u.
V ... 65.78 Å³/cell

Lattice parameters (Å, degrees): 5.0293 5.0293 5.0293 133.50 133.50 67.86
Fractional coordinates of all 4 atoms:
Zn 0.0000 0.0000 0.0000
Zn 0.7500 0.2500 0.5000
Cr 0.2500 0.7500 0.5000
Se 0.5000 0.5000 0.0000

***

(2)
Below is an optimized crystal structure of Tb6PmSm2, with properties calculated at the PBE level.

Output
Excess energy over the best structure of this formula in the dataset ... 0.123 eV/atom
Total magnetization ... 0.000 μB/f.u.
V ... 297.83 Å³/cell
Formation energy from the elements ... 0.23 eV per atom

Lattice parameters (Å, degrees): 7.5359 7.5359 6.0555 90.00 90.00 120.00
Fractional coordinates of all 9 atoms:
Tb 0.1876 0.3751 0.2075
Tb 0.1876 0.8124 0.2075
Tb 0.3751 0.1876 0.7925
Tb 0.6249 0.8124 0.2075
Tb 0.8124 0.1876 0.7925
Tb 0.8124 0.6249 0.7925
Pm 0.0000 0.0000 0.5000
Sm 0.3333 0.6667 0.7151
Sm 0.6667 0.3333 0.2849

***

(3)
Below is an optimized crystal structure of LaNdDyCu, with properties calculated at the PBE level.

Output
Total magnetization ... 0.000 μB/f.u.
V ... 114.32 Å³/cell
Formation energy from the elements ... -0.07 eV per atom

Lattice parameters (Å, degrees): 3.5927 3.5927 8.8573 90.00 90.00 90.00
Fractional coordinates of all 4 atoms:
La 0.0000 0.0000 0.0000
Nd 0.5000 0.5000 0.3135
Dy 0.5000 0.5000 0.6959
Cu 0.0000 0.0000 0.5205

***

(4)
Below is an optimized crystal structure of BaLaMg2, with properties calculated at the PBE level.

Output
Total magnetization ... 0.000 μB/f.u.
V ... 144.90 Å³/cell
Formation energy from the elements ... 0.13 eV per atom

Lattice parameters (Å, degrees): 11.7364 11.7364 11.7364 18.68 18.68 18.68
Fractional coordinates of all 4 atoms:
Ba 0.0000 0.0000 0.0000
La 0.5000 0.5000 0.5000
Mg 0.2460 0.2460 0.2460
Mg 0.7540 0.7540 0.7540

***

(5)
Below is an optimized crystal structure of BaSr2AlRh, with properties calculated at the PBE level.

Output
Total magnetization ... 0.000 μB/f.u.
V ... 173.61 Å³/cell
Formation energy from the elements ... -0.19 eV per atom

Lattice parameters (Å, degrees): 5.8890 5.8890 5.0060 90.00 90.00 90.00
Fractional coordinates of all 5 atoms:
Ba 0.0000 0.0000 0.0000
Sr 0.0000 0.5000 0.5000
Sr 0.5000 0.0000 0.5000
Al 0.5000 0.5000 0.0000
Rh 0.5000 0.5000 0.5000

***

(6)
Below is an optimized crystal structure of MnCr, with properties calculated at the PBE level.

Output
Total magnetization ... 0.000 μB/f.u.
V ... 190.12 Å³/cell
Formation energy from the elements ... 0.29 eV per atom

Lattice parameters (Å, degrees): 6.9503 6.9503 3.9356 90.00 90.00 90.00
Fractional coordinates of all 16 atoms:
Mn 0.1102 0.2049 0.0000
Mn 0.2049 0.8898 0.0000
Mn 0.2951 0.3898 0.5000
Mn 0.3898 0.7049 0.5000
Mn 0.6102 0.2951 0.5000
Mn 0.7049 0.6102 0.5000
Mn 0.7951 0.1102 0.0000
Mn 0.8898 0.7951 0.0000
Cr 0.0310 0.6896 0.5000
Cr 0.1896 0.5310 0.0000
Cr 0.3104 0.0310 0.5000
Cr 0.4690 0.1896 0.0000
Cr 0.5310 0.8104 0.0000
Cr 0.6896 0.9690 0.5000
Cr 0.8104 0.4690 0.0000
Cr 0.9690 0.3104 0.5000

***

(7)
Below is an optimized crystal structure of AcAsPb, with properties calculated at the PBE level.

Output
Excess energy over the best structure of this formula in the dataset ... 0.000 eV/atom
Total magnetization ... 0.000 μB/f.u.
V ... 93.89 Å³/cell
Formation energy from the elements ... -0.57 eV per atom

Lattice parameters (Å, degrees): 4.9926 4.9926 4.3496 90.00 90.00 120.00
Fractional coordinates of all 3 atoms:
Ac 0.0000 0.0000 0.0000
As 0.3333 0.6667 0.4312
Pb 0.6667 0.3333 0.5291

***

(8)
Below is an optimized crystal structure of VW2Au, with properties calculated at the PBE level.

Output
Excess energy over the best structure of this formula in the dataset ... 0.292 eV/atom
Total magnetization ... 1.065 μB/f.u.
V ... 139.11 Å³/cell
Formation energy from the elements ... 0.80 eV per atom

Lattice parameters (Å, degrees): 10.0088 10.0088 10.0088 158.12 158.12 31.13
Fractional coordinates of all 8 atoms:
V 0.0000 0.0000 0.0000
V 0.7500 0.2500 0.5000
W 0.1083 0.6250 0.9833
W 0.3750 0.3583 0.4833
W 0.6417 0.1250 0.0167
W 0.8750 0.8917 0.5167
Au 0.2500 0.7500 0.5000
Au 0.5000 0.5000 0.0000

***

(9)
Below is an optimized crystal structure of Pr6SnSe2S3, with properties calculated at the PBE level.

Output
Uncorrected formation energy ... -1738 meV/atom
Total magnetization ... 0.000 μB/f.u.
V ... 324.10 Å³/cell

Lattice parameters (Å, degrees): 9.5033 9.5033 8.5238 103.24 103.24 25.67
Fractional coordinates of all 12 atoms:
Pr 0.0020 0.0020 0.2350
Pr 0.3282 0.3282 0.4278
Pr 0.3388 0.3388 0.9070
Pr 0.6612 0.6612 0.0930
Pr 0.6718 0.6718 0.5722
Pr 0.9980 0.9980 0.7650
Sn 0.5000 0.5000 0.5000
Se 0.1696 0.1696 0.8365
Se 0.8304 0.8304 0.1635
S 0.1658 0.1658 0.3296
S 0.5000 0.5000 0.0000
S 0.8342 0.8342 0.6704

***

(10)
Below is an optimized crystal structure of KLa2Mn, with properties calculated at the PBE level.

Output
Excess energy over the best structure of this formula in the dataset ... 0.436 eV/atom
Total magnetization ... 2.858 μB/f.u.
V ... 133.30 Å³/cell
Formation energy from the elements ... 0.70 eV per atom

Lattice parameters (Å, degrees): 6.5437 6.5437 6.5437 136.02 136.02 63.95
Fractional coordinates of all 4 atoms:
K 0.0000 0.0000 0.0000
La 0.2500 0.7500 0.5000
La 0.5000 0.5000 0.0000
Mn 0.7500 0.2500 0.5000

***

(11)
Below is an optimized crystal structure of KSeCl2, with properties calculated at the PBE level.

Output
Excess energy over the best structure of this formula in the dataset ... 0.240 eV/atom
Uncorrected formation energy ... -611 meV/atom
Total magnetization ... 0.534 μB/f.u.
V ... 115.77 Å³/cell

Lattice parameters (Å, degrees): 7.7490 7.7490 3.9416 96.31 96.31 29.49
Fractional coordinates of all 4 atoms:
K 0.0000 0.0000 0.0000
Se 0.2136 0.2136 0.5880
Cl 0.4306 0.4306 0.4698
Cl 0.7064 0.7064 0.0822

***

(12)
Below is an optimized crystal structure of Pm12SbPb6, with properties calculated at the PBE level.

Output
Uncorrected formation energy ... -302 meV/atom
Total magnetization ... 0.007 μB/f.u.
V ... 707.75 Å³/cell

Lattice parameters (Å, degrees): 9.0664 9.0664 9.0664 99.86 99.86 99.86
Fractional coordinates of all 19 atoms:
Pm 0.0400 0.9346 0.6692
Pm 0.0654 0.3308 0.9600
Pm 0.1907 0.5573 0.4203
Pm 0.3308 0.9600 0.0654
Pm 0.4203 0.1907 0.5573
Pm 0.4427 0.5797 0.8093
Pm 0.5573 0.4203 0.1907
Pm 0.5797 0.8093 0.4427
Pm 0.6692 0.0400 0.9346
Pm 0.8093 0.4427 0.5797
Pm 0.9346 0.6692 0.0400
Pm 0.9600 0.0654 0.3308
Sb 0.0000 0.0000 0.0000
Pb 0.1256 0.3096 0.6265
Pb 0.3096 0.6265 0.1256
Pb 0.3735 0.8744 0.6904
Pb 0.6265 0.1256 0.3096
Pb 0.6904 0.3735 0.8744
Pb 0.8744 0.6904 0.3735

***

(13)
Below is an optimized crystal structure of NbCrGe, with properties calculated at the PBE level.

Output
Total magnetization ... 0.062 μB/f.u.
V ... 45.62 Å³/cell
Formation energy from the elements ... 0.01 eV per atom

Lattice parameters (Å, degrees): 4.3387 4.3387 2.7984 90.00 90.00 120.00
Fractional coordinates of all 3 atoms:
Nb 0.0000 0.0000 0.0000
Cr 0.6667 0.3333 0.3506
Ge 0.3333 0.6667 0.4580

***

(14)
Below is an optimized crystal structure of KIn3Au3, with properties calculated at the PBE level.

Output
Excess energy over the best structure of this formula in the dataset ... 0.055 eV/atom
Total magnetization ... 0.000 μB/f.u.
V ... 457.01 Å³/cell
Formation energy from the elements ... -0.15 eV per atom

Lattice parameters (Å, degrees): 7.7027 7.7027 7.7027 90.00 90.00 90.00
Fractional coordinates of all 14 atoms:
K 0.0000 0.0000 0.0000
K 0.5000 0.5000 0.5000
In 0.0000 0.2500 0.5000
In 0.0000 0.7500 0.5000
In 0.2500 0.5000 0.0000
In 0.5000 0.0000 0.2500
In 0.5000 0.0000 0.7500
In 0.7500 0.5000 0.0000
Au 0.0000 0.5000 0.2500
Au 0.0000 0.5000 0.7500
Au 0.2500 0.0000 0.5000
Au 0.5000 0.2500 0.0000
Au 0.5000 0.7500 0.0000
Au 0.7500 0.0000 0.5000

***

(15)
Below is an optimized crystal structure of CaPr3Nd2, with properties calculated at the PBE level.

Output
Excess energy over the best structure of this formula in the dataset ... 0.000 eV/atom
Total magnetization ... 0.000 μB/f.u.
V ... 438.09 Å³/cell
Formation energy from the elements ... 0.03 eV per atom

Lattice parameters (Å, degrees): 9.9094 9.9094 12.0965 90.00 90.00 158.36
Fractional coordinates of all 12 atoms:
Ca 0.2223 0.7777 0.7500
Ca 0.7777 0.2223 0.2500
Pr 0.1070 0.8930 0.2500
Pr 0.3362 0.6638 0.5035
Pr 0.3362 0.6638 0.9965
Pr 0.6638 0.3362 0.0035
Pr 0.6638 0.3362 0.4965
Pr 0.8930 0.1070 0.7500
Nd 0.0000 0.0000 0.0000
Nd 0.0000 0.0000 0.5000
Nd 0.4464 0.5536 0.2500
Nd 0.5536 0.4464 0.7500

***

(16)
Below is an optimized crystal structure of KMg2CoGe, with properties calculated at the PBE level.

Output
Total magnetization ... 0.000 μB/f.u.
V ... 114.20 Å³/cell
Formation energy from the elements ... -0.03 eV per atom

Lattice parameters (Å, degrees): 5.0202 5.0202 4.5313 90.00 90.00 90.00
Fractional coordinates of all 5 atoms:
K 0.0000 0.0000 0.0000
Mg 0.0000 0.5000 0.5000
Mg 0.5000 0.0000 0.5000
Co 0.5000 0.5000 0.5000
Ge 0.5000 0.5000 0.0000

***

(17)
Below is an optimized crystal structure of Ba2FeAu, with properties calculated at the PBE level.

Output
Excess energy over the best structure of this formula in the dataset ... 0.232 eV/atom
Total magnetization ... 2.426 μB/f.u.
V ... 149.19 Å³/cell
Formation energy from the elements ... 0.23 eV per atom

Lattice parameters (Å, degrees): 4.6854 4.6854 8.3171 106.11 106.11 59.59
Fractional coordinates of all 4 atoms:
Ba 0.2495 0.2495 0.2475
Ba 0.7505 0.7505 0.7525
Fe 0.5000 0.5000 0.0000
Au 0.0000 0.0000 0.5000

***

(18)
Below is an optimized crystal structure of HfNb3B, with properties calculated at the PBE level.

Output
Excess energy over the best structure of this formula in the dataset ... 0.000 eV/atom
Total magnetization ... 0.000 μB/f.u.
V ... 88.56 Å³/cell
Formation energy from the elements ... -0.01 eV per atom

Lattice parameters (Å, degrees): 4.4575 4.4575 4.4575 90.00 90.00 90.00
Fractional coordinates of all 5 atoms:
Hf 0.0000 0.0000 0.0000
Nb 0.0000 0.5000 0.5000
Nb 0.5000 0.0000 0.5000
Nb 0.5000 0.5000 0.0000
B 0.5000 0.5000 0.5000

***

(19)
Below is an optimized crystal structure of IrF3, with properties calculated at the PBE level.

Output
Uncorrected formation energy ... -869 meV/atom
Total magnetization ... 0.000 μB/f.u.
V ... 63.31 Å³/cell

Lattice parameters (Å, degrees): 5.0018 5.0018 5.0018 143.51 72.36 119.94
Fractional coordinates of all 4 atoms:
Ir 0.0000 0.0000 0.0000
F 0.2802 0.6352 0.6450
F 0.7303 0.2303 0.5000
F 0.9902 0.6352 0.3550

***

(20)
Below is an optimized crystal structure of NpUSe2, with properties calculated at the PBE level.

Output
Excess energy over the best structure of this formula in the dataset ... 0.000 eV/atom
Uncorrected formation energy ... -1026 meV/atom
Total magnetization ... 7.020 μB/f.u.
V ... 95.72 Å³/cell

Lattice parameters (Å, degrees): 7.2289 7.2289 7.2289 32.27 32.27 32.27
Fractional coordinates of all 4 atoms:
Np 0.0000 0.0000 0.0000
U 0.5000 0.5000 0.5000
Se 0.2507 0.2507 0.2507
Se 0.7493 0.7493 0.7493